1.
# AgHgOs2, optimized geometry, DFT PBE-GGA
data_AgHgOs2
_chemical_formula_sum 'Ag1 Hg1 Os2'
_cell_length_a 2.855
_cell_length_b 2.855
_cell_length_c 8.276
_cell_angle_alpha 90.00
_cell_angle_beta 90.00
_cell_angle_gamma 90.00
_symmetry_space_group_name_H-M 'P 1'
_symmetry_Int_Tables_number 1
loop_
_symmetry_equiv_pos_as_xyz
'x,y,z'
loop_
_atom_site_label
_atom_site_fract_x
_atom_site_fract_y
_atom_site_fract_z
Os1 0.000 0.000 0.031
Os2 0.500 0.500 0.225
Hg1 0.500 0.500 0.762
Ag1 0.000 0.000 0.483
# - density (Mg/m³) = 17.0
# - formation enthalpy at 0 K (eV per atom) = 0.4010
# - space group = No. 99
# - magnetic moment (μB/f.u.) = 0.0
# - crystal system = tetragonal
# - VASP energy (eV/atom) = -6.00

2.
# AgHgOs, optimized geometry, DFT PBE-GGA
data_AgHgOs
_chemical_formula_sum 'Ag1 Hg1 Os1'
_cell_length_a 6.893
_cell_length_b 6.893
_cell_length_c 6.888
_cell_angle_alpha 156.28
_cell_angle_beta 156.28
_cell_angle_gamma 33.94
_symmetry_space_group_name_H-M 'P 1'
_symmetry_Int_Tables_number 1
loop_
_symmetry_equiv_pos_as_xyz
'x,y,z'
loop_
_atom_site_label
_atom_site_fract_x
_atom_site_fract_y
_atom_site_fract_z
Os1 0.664 0.664 0.000
Hg1 0.329 0.329 0.000
Ag1 0.007 0.007 0.000
# - density (Mg/m³) = 15.7
# - formation enthalpy at 0 K (eV per atom) = 0.7944
# - space group = No. 42
# - magnetic moment (μB/f.u.) = 1.0
# - crystal system = orthorhombic
# - relative energy among the computed polymorphs (meV/atom) = 107
# - VASP energy (eV/atom) = -4.00

3.
# AgHgOs2, optimized geometry, DFT PBE-GGA
data_AgHgOs2
_chemical_formula_sum 'Ag1 Hg1 Os2'
_cell_length_a 5.234
_cell_length_b 5.234
_cell_length_c 2.788
_cell_angle_alpha 90.00
_cell_angle_beta 90.00
_cell_angle_gamma 118.69
_symmetry_space_group_name_H-M 'P 1'
_symmetry_Int_Tables_number 1
loop_
_symmetry_equiv_pos_as_xyz
'x,y,z'
loop_
_atom_site_label
_atom_site_fract_x
_atom_site_fract_y
_atom_site_fract_z
Os1 0.000 0.000 0.000
Os2 0.500 0.500 0.000
Hg1 0.000 0.500 0.500
Ag1 0.500 0.000 0.500
# - density (Mg/m³) = 17.1
# - formation enthalpy at 0 K (eV per atom) = 1.0792
# - space group = No. 65
# - magnetic moment (μB/f.u.) = 0.0
# - crystal system = orthorhombic
# - VASP energy (eV/atom) = -5.32

4.
# AgHgOs2, optimized geometry, DFT PBE-GGA
data_AgHgOs2
_chemical_formula_sum 'Ag1 Hg1 Os2'
_cell_length_a 2.737
_cell_length_b 4.495
_cell_length_c 5.603
_cell_angle_alpha 90.00
_cell_angle_beta 90.00
_cell_angle_gamma 90.00
_symmetry_space_group_name_H-M 'P 1'
_symmetry_Int_Tables_number 1
loop_
_symmetry_equiv_pos_as_xyz
'x,y,z'
loop_
_atom_site_label
_atom_site_fract_x
_atom_site_fract_y
_atom_site_fract_z
Os1 0.000 0.000 0.036
Os2 0.000 0.000 0.464
Hg1 0.500 0.500 0.750
Ag1 0.500 0.500 0.250
# - density (Mg/m³) = 16.6
# - formation enthalpy at 0 K (eV per atom) = 1.0313
# - space group = No. 47
# - magnetic moment (μB/f.u.) = 0.0
# - crystal system = orthorhombic
# - VASP energy (eV/atom) = -5.37

5.
# AgHgOs2, optimized geometry, DFT PBE-GGA
data_AgHgOs2
_chemical_formula_sum 'Ag1 Hg1 Os2'
_cell_length_a 9.763
_cell_length_b 9.763
_cell_length_c 9.763
_cell_angle_alpha 16.54
_cell_angle_beta 16.54
_cell_angle_gamma 16.54
_symmetry_space_group_name_H-M 'P 1'
_symmetry_Int_Tables_number 1
loop_
_symmetry_equiv_pos_as_xyz
'x,y,z'
loop_
_atom_site_label
_atom_site_fract_x
_atom_site_fract_y
_atom_site_fract_z
Os1 0.998 0.998 0.998
Os2 0.502 0.502 0.502
Hg1 0.750 0.750 0.750
Ag1 0.250 0.250 0.250
# - density (Mg/m³) = 17.4
# - formation enthalpy at 0 K (eV per atom) = 0.8635
# - space group = No. 166
# - magnetic moment (μB/f.u.) = 0.0
# - crystal system = trigonal
# - VASP energy (eV/atom) = -5.54

6.
# AgHgOs, optimized geometry, DFT PBE-GGA
data_AgHgOs
_chemical_formula_sum 'Ag1 Hg1 Os1'
_cell_length_a 2.872
_cell_length_b 2.872
_cell_length_c 7.293
_cell_angle_alpha 90.00
_cell_angle_beta 90.00
_cell_angle_gamma 120.00
_symmetry_space_group_name_H-M 'P 1'
_symmetry_Int_Tables_number 1
loop_
_symmetry_equiv_pos_as_xyz
'x,y,z'
loop_
_atom_site_label
_atom_site_fract_x
_atom_site_fract_y
_atom_site_fract_z
Os1 0.333 0.667 0.671
Hg1 0.667 0.333 0.338
Ag1 0.000 0.000 0.991
# - density (Mg/m³) = 15.9
# - formation enthalpy at 0 K (eV per atom) = 0.6872
# - space group = No. 156
# - magnetic moment (μB/f.u.) = 0.2
# - crystal system = trigonal
# - relative energy among the computed polymorphs (meV/atom) = 0
# - VASP energy (eV/atom) = -4.11

7.
# AgHgOs2, optimized geometry, DFT PBE-GGA
data_AgHgOs2
_chemical_formula_sum 'Ag1 Hg1 Os2'
_cell_length_a 2.742
_cell_length_b 2.742
_cell_length_c 8.895
_cell_angle_alpha 90.00
_cell_angle_beta 90.00
_cell_angle_gamma 90.00
_symmetry_space_group_name_H-M 'P 1'
_symmetry_Int_Tables_number 1
loop_
_symmetry_equiv_pos_as_xyz
'x,y,z'
loop_
_atom_site_label
_atom_site_fract_x
_atom_site_fract_y
_atom_site_fract_z
Os1 0.000 0.000 0.008
Os2 0.000 0.000 0.492
Hg1 0.500 0.500 0.750
Ag1 0.500 0.500 0.250
# - density (Mg/m³) = 17.1
# - formation enthalpy at 0 K (eV per atom) = 1.1233
# - space group = No. 123
# - magnetic moment (μB/f.u.) = 0.0
# - crystal system = tetragonal
# - VASP energy (eV/atom) = -5.28

8.
# AgHgOs2, optimized geometry, DFT PBE-GGA
data_AgHgOs2
_chemical_formula_sum 'Ag1 Hg1 Os2'
_cell_length_a 2.809
_cell_length_b 2.809
_cell_length_c 10.034
_cell_angle_alpha 90.00
_cell_angle_beta 90.00
_cell_angle_gamma 119.51
_symmetry_space_group_name_H-M 'P 1'
_symmetry_Int_Tables_number 1
loop_
_symmetry_equiv_pos_as_xyz
'x,y,z'
loop_
_atom_site_label
_atom_site_fract_x
_atom_site_fract_y
_atom_site_fract_z
Os1 0.000 0.000 0.023
Os2 0.500 0.500 0.234
Hg1 0.500 0.500 0.757
Ag1 0.000 0.000 0.485
# - density (Mg/m³) = 16.6
# - formation enthalpy at 0 K (eV per atom) = 0.6723
# - space group = No. 35
# - magnetic moment (μB/f.u.) = 0.1
# - crystal system = orthorhombic
# - VASP energy (eV/atom) = -5.73